The following is a DFT calculation (PBE-GGA) of crystalline AgPdAu4 at its relaxed geometry.

Its total energy is -3.57 eV per atom. The formation energy is -1.13 kcal/mol of atoms. The calculation puts the energy relative to the lowest polymorph listed for this composition at 0.000 eV/atom. Its density of states at the Fermi level is 1.73 states/eV/f.u.

Unit cell a=5.015 b=5.593 c=8.690 alpha=104.85 beta=90.06 gamma=115.78
Space group P-1 (No. 2)
Inequivalent atoms, fractional coordinates:
Ag  0.045  0.251  0.458
Pd  0.461  0.751  0.042
Au  0.039  0.250  0.122
Au  0.047  0.255  0.796
Au  0.457  0.752  0.373
Au  0.460  0.753  0.712